Entry from Alexandria via LeMat-Bulk: a relaxed ZrCuAu crystal (PBE).

abc: 3.103 3.103 6.573
angles: 90.00 90.00 120.00
Element x y z (fractional)
Au  0.000  0.000  0.017
Cu  0.667  0.333  0.326
Zr  0.333  0.667  0.657

Summary:
E above lowest polymorph	326	meV/atom
total moment	0.00	Bohr magnetons per cell
space group	No. 156
formation enthalpy at 0 K	-0.039	eV/atom